w) DFT (GGA-PBE) results for an optimized crystal structure of RbCdPS2.

The structure in CIF format:
```
data_RbCdPS2
_chemical_formula_sum 'Rb1 Cd1 P1 S2'
_space_group_name_H-M_alt 'P 4/m m m'
_space_group_IT_number 123
_space_group_name_Hall '-P 4 2'
_cell_length_a 5.243
_cell_length_b 5.243
_cell_length_c 5.089
_cell_angle_alpha 90.00
_cell_angle_beta 90.00
_cell_angle_gamma 90.00
loop_
_atom_site_label
_atom_site_fract_x
_atom_site_fract_y
_atom_site_fract_z
_atom_site_occupancy
Rb1 0.000 0.000 0.000 1
Cd1 0.500 0.500 0.500 1
P1 0.500 0.500 0.000 1
S1 0.000 0.500 0.500 1
```

- magnetization (μB per formula unit) = 1.41


x) DFT (GGA-PBE) results for an optimized crystal structure of RbCdPS2.

The structure in CIF format:
```
data_RbCdPS2
_chemical_formula_sum 'Rb1 Cd1 P1 S2'
_space_group_name_H-M_alt 'P 4/m m m'
_space_group_IT_number 123
_space_group_name_Hall '-P 4 2'
_cell_length_a 6.500
_cell_length_b 6.500
_cell_length_c 6.846
_cell_angle_alpha 90.00
_cell_angle_beta 90.00
_cell_angle_gamma 90.00
loop_
_atom_site_label
_atom_site_fract_x
_atom_site_fract_y
_atom_site_fract_z
_atom_site_occupancy
Rb1 0.000 0.000 0.000 1
Cd1 0.500 0.500 0.500 1
P1 0.000 0.000 0.500 1
S1 0.000 0.500 0.000 1
```

- magnetization (μB per formula unit) = 6.01


Tell me which of them is the least stable. Sure, it is x).